# LiPu2USe4

A relaxed LiPu2USe4 crystal (PBE, Alexandria via LeMat-Bulk).

Cell and atoms, written as POSCAR:
```
LiPu2USe4
1.0
4.061 0.000 0.000
0.000 7.084 0.136
0.000 -2.463 6.681
Pu Se U Li
2 4 1 1
direct
0.500 0.000 0.500
0.000 0.500 0.500
0.000 0.257 0.760
0.500 0.747 0.757
0.000 0.743 0.240
0.500 0.253 0.243
0.000 0.000 0.000
0.500 0.500 0.000
```

Results
E_form (uncorrected): -1308 meV/atom
Total DFT energy (no corrections): -8.283 eV per atom
Volume: 193.6 Å³/f.u.
DOS at the Fermi energy: 23.122 states/eV/f.u.
Symmetry: P2/m, No. 10